# FeHgSe2F | Alexandria via LeMat-Bulk | GGA-PBEsol | optimized geometry
data_FeHgSe2F
_cell_length_a 4.355
_cell_length_b 4.355
_cell_length_c 5.115
_cell_angle_alpha 90.00
_cell_angle_beta 90.00
_cell_angle_gamma 90.00
_space_group_name_H-M_alt 'P 4/m m m'
_space_group_IT_number 123
_space_group_name_Hall '-P 4 2'
loop_
_atom_site_label
_atom_site_type_symbol
_atom_site_fract_x
_atom_site_fract_y
_atom_site_fract_z
Fe1 Fe 0.000 0.000 0.000
Hg1 Hg 0.000 0.000 0.500
Se1 Se 0.000 0.500 0.000
F1 F 0.500 0.500 0.500
# - uncorrected formation energy (eV per atom) = -0.088